No. 1
A plane-wave DFT calculation with GGA-PBE was carried out for a relaxed CsTlGaBi2 crystal.

The structure belongs to space group P4/mmm (No. 123); the cell edges are 5.743, 5.743 and 5.872 Å and the angles 90.00°, 90.00° and 90.00°. The asymmetric unit holds Cs at (0.000, 0.000, 0.000), Tl at (0.500, 0.500, 0.000), Ga at (0.500, 0.500, 0.500) and Bi at (0.000, 0.500, 0.500).

The energy of formation is 0.08 eV per formula unit. As for the offset from the most stable computed form: 184 meV per atom.

---

No. 2
A plane-wave DFT calculation with GGA-PBE was carried out for a relaxed SrPm2OsO8 crystal.

The structure belongs to space group P2/m (No. 10); the cell edges are 5.194, 7.142 and 5.204 Å and the angles 90.00°, 90.97° and 90.00°. The asymmetric unit holds Sr at (0.000, 0.000, 0.000), Pm at (0.500, 0.244, 0.500), Os at (0.000, 0.500, 0.000), O at (0.181, 0.312, 0.180), O at (0.253, 0.500, 0.745) and O at (0.318, 0.000, 0.681).

For the raw total energy, the calculation gives -7.416 eV per atom.

---

No. 3
A plane-wave DFT calculation with GGA-PBE was carried out for a relaxed MnRhPb2 crystal.

The structure belongs to space group F-43m (No. 216); the cell edges are 6.965, 6.965 and 6.965 Å and the angles 90.00°, 90.00° and 90.00°. The asymmetric unit holds Mn at (0.000, 0.000, 0.000), Rh at (0.250, 0.250, 0.250), Pb at (0.000, 0.000, 0.500) and Pb at (0.250, 0.250, 0.750).

The energy of formation is 1.61 eV per formula unit. As for the offset from the most stable computed form: 333 meV per atom.

---

It is found that the V values, taken in the order of the records, are 193.7, 193.0, 84.5 Å³/f.u..
It is found that the M_tot values, taken in the order of the records, are 0.000, 0.000, 1.010 μB/atom.